# AcHo2Pb

A relaxed structure of AcHo2Pb (PBE-GGA, Alexandria via LeMat-Bulk).

## Properties
For the formation energy, the calculation gives -3.28 kJ per mole of atoms. The relative energy among the computed polymorphs is 0.1743 eV per atom. As for the density of states at the Fermi level: 6.5 states/eV/f.u. For the density, the calculation gives 10.23 g/cm³.

Unit cell a=7.915 b=7.915 c=7.915 alpha=90.00 beta=90.00 gamma=90.00
Space group Fm-3m (No. 225)
One atom of each set of equivalent atoms:
Ac (0.000, 0.000, 0.000)
Ho (0.250, 0.250, 0.250)
Pb (0.000, 0.000, 0.500)